# AgMo3O

A geometry-optimized AgMo3O structure (PBE+U, Alexandria).

The structure in CIF format:
```
data_AgMo3O
_space_group_name_H-M_alt 'P m -3 m'
_space_group_IT_number 221
_space_group_name_Hall '-P 4 2 3'
_cell_length_a 4.1915
_cell_length_b 4.1915
_cell_length_c 4.1915
_cell_angle_alpha 90.00
_cell_angle_beta 90.00
_cell_angle_gamma 90.00
loop_
_atom_site_label
_atom_site_fract_x
_atom_site_fract_y
_atom_site_fract_z
Ag1 0.0000 0.0000 0.0000
Mo1 0.0000 0.5000 0.5000
O1 0.5000 0.5000 0.5000
```

Values from the calculation:
- M_tot (Bohr magnetons per cell) = 0.2
- total energy (eV per atom) = -5.07
- DOS(E_F) (states/eV/cell) = 3.89